Entry 1:
Density functional theory data (PBE) for crystalline TaRuSe2 at its relaxed geometry.

a b c (Å): 3.122 4.197 5.288
angles (deg): 90.00 90.00 90.00
Positions (direct):
Ta1 0.000 0.000 0.000
Ru1 0.500 0.000 0.500
Se1 0.000 0.500 0.500
Se2 0.500 0.500 0.000

ΔE_f (raw)   350.4 meV/atom
Crystal system   orthorhombic
Relative energy among the computed polymorphs   0.747 eV per atom
SG   Pmmm
Calculated volume   69.3 Å³ per cell
E   -6.674 eV/atom



Entry 2:
Density functional theory data (PBE) for crystalline TaRu2Se at its relaxed geometry.

a b c (Å): 3.796 3.796 8.615
angles (deg): 90.00 90.00 90.00
Positions (direct):
Ta1 0.000 0.000 0.000
Ta2 0.500 0.500 0.500
Ru1 0.000 0.000 0.500
Ru2 0.000 0.500 0.750
Ru3 0.500 0.000 0.250
Ru4 0.500 0.500 0.000
Se1 0.000 0.500 0.250
Se2 0.500 0.000 0.750

ΔE_f (raw)   131.3 meV/atom
Crystal system   tetragonal
SG   I-4m2
Calculated volume   124.2 Å³ per cell
E   -8.341 eV/atom



Entry 3:
Density functional theory data (PBE) for crystalline TaRu2Se at its relaxed geometry.

a b c (Å): 8.914 3.100 4.690
angles (deg): 90.00 99.18 90.00
Positions (direct):
Ta1 0.000 0.000 0.000
Ta2 0.500 0.500 0.000
Ru1 0.232 0.500 0.230
Ru2 0.268 0.000 0.770
Ru3 0.732 0.000 0.230
Ru4 0.768 0.500 0.770
Se1 0.000 0.500 0.500
Se2 0.500 0.000 0.500

ΔE_f (raw)   30.0 meV/atom
Crystal system   monoclinic
SG   C2/m
Calculated volume   127.9 Å³ per cell
E   -8.442 eV/atom



Entry 4:
Density functional theory data (PBE) for crystalline Ta3RuSe at its relaxed geometry.

a b c (Å): 4.816 4.816 4.816
angles (deg): 90.00 90.00 90.00
Positions (direct):
Ta1 0.000 0.000 0.500
Ta2 0.000 0.500 0.000
Ta3 0.500 0.000 0.000
Ru1 0.000 0.000 0.000
Se1 0.500 0.500 0.500

ΔE_f (raw)   1094.2 meV/atom
Crystal system   cubic
Relative energy among the computed polymorphs   0.000 eV per atom
SG   Pm-3m
Calculated volume   111.7 Å³ per cell
E   -8.569 eV/atom



Entry 5:
Density functional theory data (PBE) for crystalline TaRu2Se at its relaxed geometry.

a b c (Å): 3.197 3.197 6.293
angles (deg): 90.00 90.00 90.00
Positions (direct):
Ta1 0.000 0.000 0.000
Ru1 0.500 0.500 0.234
Ru2 0.500 0.500 0.766
Se1 0.000 0.000 0.500

ΔE_f (raw)   -59.0 meV/atom
Crystal system   tetragonal
SG   P4/mmm
Calculated volume   64.3 Å³ per cell
E   -8.531 eV/atom



Entry 6:
Density functional theory data (PBE) for crystalline Ta2RuSe6 at its relaxed geometry.

a b c (Å): 6.184 6.172 12.063
angles (deg): 90.00 120.62 90.00
Positions (direct):
Ta1 0.173 0.164 0.257
Ta2 0.173 0.336 0.757
Ta3 0.827 0.664 0.243
Ta4 0.827 0.836 0.743
Ru1 0.500 0.000 0.000
Ru2 0.500 0.500 0.500
Se1 0.067 0.159 0.912
Se2 0.067 0.341 0.412
Se3 0.227 0.663 0.919
Se4 0.227 0.837 0.419
Se5 0.459 0.038 0.781
Se6 0.459 0.462 0.281
Se7 0.541 0.538 0.719
Se8 0.541 0.962 0.219
Se9 0.773 0.163 0.581
Se10 0.773 0.337 0.081
Se11 0.933 0.659 0.588
Se12 0.933 0.841 0.088

ΔE_f (raw)   -434.9 meV/atom
Crystal system   monoclinic
SG   P2_1/c
Calculated volume   396.2 Å³ per cell
E   -6.423 eV/atom



Entry 7:
Density functional theory data (PBE) for crystalline TaRuSe2 at its relaxed geometry.

a b c (Å): 8.385 3.159 5.269
angles (deg): 90.00 97.94 90.00
Positions (direct):
Ta1 0.000 0.000 0.000
Ta2 0.500 0.500 0.000
Ru1 0.000 0.500 0.500
Ru2 0.500 0.000 0.500
Se1 0.222 0.500 0.240
Se2 0.278 0.000 0.760
Se3 0.722 0.000 0.240
Se4 0.778 0.500 0.760

ΔE_f (raw)   55.4 meV/atom
Crystal system   monoclinic
Relative energy among the computed polymorphs   0.452 eV per atom
SG   C2/m
Calculated volume   138.2 Å³ per cell
E   -6.969 eV/atom



Entry 8:
Density functional theory data (PBE) for crystalline TaRuSe2 at its relaxed geometry.

a b c (Å): 3.652 3.906 13.549
angles (deg): 90.00 90.00 90.00
Positions (direct):
Ta1 0.000 0.000 0.000
Ta2 0.500 0.500 0.500
Ru1 0.000 0.000 0.500
Ru2 0.500 0.500 0.000
Se1 0.000 0.500 0.135
Se2 0.000 0.500 0.865
Se3 0.500 0.000 0.365
Se4 0.500 0.000 0.635

ΔE_f (raw)   -323.9 meV/atom
Crystal system   orthorhombic
Relative energy among the computed polymorphs   0.072 eV per atom
SG   Immm
Calculated volume   193.3 Å³ per cell
E   -7.348 eV/atom



Entry 9:
Density functional theory data (PBE) for crystalline Ta2Ru2Se at its relaxed geometry.

a b c (Å): 4.239 4.239 10.960
angles (deg): 90.00 90.00 90.00
Positions (direct):
Ta1 0.000 0.500 0.250
Ta2 0.000 0.500 0.750
Ta3 0.500 0.000 0.250
Ta4 0.500 0.000 0.750
Ru1 0.000 0.000 0.121
Ru2 0.000 0.000 0.879
Ru3 0.500 0.500 0.379
Ru4 0.500 0.500 0.621
Se1 0.000 0.000 0.500
Se2 0.500 0.500 0.000

ΔE_f (raw)   151.1 meV/atom
Crystal system   tetragonal
Relative energy among the computed polymorphs   0.207 eV per atom
SG   I4/mmm
Calculated volume   197.0 Å³ per cell
E   -8.997 eV/atom



Entry 10:
Density functional theory data (PBE) for crystalline TaRuSe2 at its relaxed geometry.

a b c (Å): 4.321 3.132 5.331
angles (deg): 90.00 113.38 90.00
Positions (direct):
Ta1 0.000 0.000 0.000
Ru1 0.500 0.500 0.500
Se1 0.000 0.000 0.500
Se2 0.500 0.500 0.000

ΔE_f (raw)   -51.9 meV/atom
Crystal system   monoclinic
Relative energy among the computed polymorphs   0.344 eV per atom
SG   P2/m
Calculated volume   66.2 Å³ per cell
E   -7.076 eV/atom



Entry 11:
Density functional theory data (PBE) for crystalline TaRuSe2 at its relaxed geometry.

a b c (Å): 5.323 6.222 8.634
angles (deg): 90.00 90.00 90.00
Positions (direct):
Ta1 0.000 0.000 0.000
Ta2 0.000 0.500 0.500
Ta3 0.500 0.000 0.500
Ta4 0.500 0.500 0.000
Ru1 0.000 0.000 0.500
Ru2 0.000 0.500 0.000
Ru3 0.500 0.000 0.000
Ru4 0.500 0.500 0.500
Se1 0.000 0.250 0.250
Se2 0.000 0.250 0.750
Se3 0.000 0.750 0.250
Se4 0.000 0.750 0.750
Se5 0.500 0.250 0.250
Se6 0.500 0.250 0.750
Se7 0.500 0.750 0.250
Se8 0.500 0.750 0.750

ΔE_f (raw)   232.4 meV/atom
Crystal system   orthorhombic
Relative energy among the computed polymorphs   0.629 eV per atom
SG   Fmmm
Calculated volume   285.9 Å³ per cell
E   -6.792 eV/atom



Entry 12:
Density functional theory data (PBE) for crystalline TaRu2Se at its relaxed geometry.

a b c (Å): 3.056 3.948 5.309
angles (deg): 90.00 90.00 90.00
Positions (direct):
Ta1 0.000 0.000 0.000
Ru1 0.000 0.000 0.510
Ru2 0.500 0.500 0.185
Se1 0.500 0.500 0.666

ΔE_f (raw)   65.2 meV/atom
Crystal system   orthorhombic
SG   Pmm2
Calculated volume   64.0 Å³ per cell
E   -8.407 eV/atom



Entry 13:
Density functional theory data (PBE) for crystalline TaRu2Se at its relaxed geometry.

a b c (Å): 2.934 4.057 5.444
angles (deg): 90.00 105.61 90.00
Positions (direct):
Ta1 0.000 0.000 0.000
Ru1 0.261 0.000 0.510
Ru2 0.628 0.500 0.245
Se1 0.382 0.500 0.767

ΔE_f (raw)   28.3 meV/atom
Crystal system   monoclinic
SG   Pm
Calculated volume   62.4 Å³ per cell
E   -8.444 eV/atom



Entry 14:
Density functional theory data (PBE) for crystalline TaRu2Se at its relaxed geometry.

a b c (Å): 5.541 5.541 11.445
angles (deg): 90.00 90.00 90.00
Positions (direct):
Ta1 0.000 0.000 0.000
Ta2 0.000 0.500 0.250
Ta3 0.500 0.000 0.750
Ta4 0.500 0.500 0.500
Ru1 0.235 0.250 0.625
Ru2 0.250 0.735 0.875
Ru3 0.250 0.765 0.375
Ru4 0.265 0.250 0.125
Ru5 0.735 0.750 0.125
Ru6 0.750 0.235 0.375
Ru7 0.750 0.265 0.875
Ru8 0.765 0.750 0.625
Se1 0.000 0.000 0.500
Se2 0.000 0.500 0.750
Se3 0.500 0.000 0.250
Se4 0.500 0.500 0.000

ΔE_f (raw)   448.6 meV/atom
Crystal system   tetragonal
SG   I-42d
Calculated volume   351.4 Å³ per cell
E   -8.024 eV/atom



Entry 15:
Density functional theory data (PBE) for crystalline TaRu2Se at its relaxed geometry.

a b c (Å): 3.264 4.829 8.343
angles (deg): 90.00 90.00 90.00
Positions (direct):
Ta1 0.000 0.000 0.000
Ta2 0.500 0.500 0.000
Ru1 0.000 0.500 0.238
Ru2 0.000 0.500 0.762
Ru3 0.500 0.000 0.238
Ru4 0.500 0.000 0.762
Se1 0.000 0.000 0.500
Se2 0.500 0.500 0.500

ΔE_f (raw)   211.4 meV/atom
Crystal system   orthorhombic
SG   Cmmm
Calculated volume   131.5 Å³ per cell
E   -8.261 eV/atom